[1]
This record from the Alexandria database describes Ca2LaPtF after structural relaxation. The functional is PBE-GGA.

Unit cell a=6.589 b=6.589 c=5.134 alpha=90.00 beta=90.00 gamma=90.00
Space group P4/mmm (No. 123)
Inequivalent atoms, fractional coordinates:
Ca  0.000  0.500  0.000 x2
La  0.000  0.000  0.000 x1
Pt  0.000  0.000  0.500 x1
F  0.500  0.500  0.500 x1

[2]
This record from the Alexandria database describes CaLaSF2 after structural relaxation. The functional is PBE-GGA.

Unit cell a=4.610 b=4.610 c=5.951 alpha=90.00 beta=90.00 gamma=90.00
Space group P4/mmm (No. 123)
Inequivalent atoms, fractional coordinates:
Ca  0.000  0.000  0.000 x1
La  0.500  0.500  0.500 x1
S  0.500  0.500  0.000 x1
F  0.000  0.500  0.500 x2

no.,raw formation energy (eV/atom),calculated density (g/cm3)
1,0.178,3.2
2,-2.651,3.3